1.
# TbBC2 (PBE, optimized geometry)
data_TbBC2
_cell_length_a 3.2919
_cell_length_b 3.2919
_cell_length_c 12.8254
_cell_angle_alpha 90.00
_cell_angle_beta 90.00
_cell_angle_gamma 120.00
_space_group_name_H-M_alt 'R -3 m'
_space_group_IT_number 166
_space_group_name_Hall '-R 3 2"'
loop_
_atom_site_label
_atom_site_fract_x
_atom_site_fract_y
_atom_site_fract_z
Tb1 0.0000 0.0000 0.0000
B1 0.0000 0.0000 0.5000
C1 0.0000 0.0000 0.2032
# - magnetic moment (μB/cell) = 0.00
# - energy relative to the elements (kJ/mol of formula units) = 402
# - Fermi-level density of states (states/eV per atom) = 0.3248
# - crystal system = trigonal
# - theoretical density (kg/m3) = 8019
# - ΔE to the lowest computed polymorph (meV per atom) = 1019

***

2.
# Er3Al8Ni3 (PBE, optimized geometry)
data_Er3Al8Ni3
_cell_length_a 15.383
_cell_length_b 4.311
_cell_length_c 8.900
_cell_angle_alpha 90.00
_cell_angle_beta 125.20
_cell_angle_gamma 90.00
_space_group_name_H-M_alt 'C 1 2/m 1'
_space_group_IT_number 12
_space_group_name_Hall '-C 2y'
loop_
_atom_site_label
_atom_site_fract_x
_atom_site_fract_y
_atom_site_fract_z
Er1 0.000 0.000 0.000
Er2 0.217 0.500 0.713
Al1 0.008 0.500 0.673
Al2 0.132 0.000 0.428
Al3 0.149 0.000 0.866
Al4 0.150 0.500 0.274
Ni1 0.000 0.000 0.500
Ni2 0.151 0.500 0.003
# - magnetic moment (μB/cell) = 0.00
# - energy relative to the elements (kJ/mol of formula units) = -720
# - Fermi-level density of states (states/eV per atom) = 0.4433
# - crystal system = monoclinic
# - theoretical density (kg/m3) = 6155

***

3.
# AcGeHPd2 (PBE, optimized geometry)
data_AcGeHPd2
_cell_length_a 4.201
_cell_length_b 11.358
_cell_length_c 7.386
_cell_angle_alpha 90.00
_cell_angle_beta 90.00
_cell_angle_gamma 90.00
_space_group_name_H-M_alt 'C m c m'
_space_group_IT_number 63
_space_group_name_Hall '-C 2c 2'
loop_
_atom_site_label
_atom_site_fract_x
_atom_site_fract_y
_atom_site_fract_z
Ac1 0.000 0.063 0.250
Ge1 0.000 0.220 0.750
H1 0.000 0.500 0.000
Pd1 0.000 0.338 0.054
# - magnetic moment (μB/cell) = 0.00
# - Fermi-level density of states (states/eV per atom) = 0.4543
# - crystal system = orthorhombic
# - theoretical density (kg/m3) = 9677

***

4.
# Ni2Ir6Ru (PBE, optimized geometry)
data_Ni2Ir6Ru
_cell_length_a 11.881
_cell_length_b 4.707
_cell_length_c 9.200
_cell_angle_alpha 90.00
_cell_angle_beta 104.96
_cell_angle_gamma 90.00
_space_group_name_H-M_alt 'C 1 2/c 1'
_space_group_IT_number 15
_space_group_name_Hall '-C 2yc'
loop_
_atom_site_label
_atom_site_fract_x
_atom_site_fract_y
_atom_site_fract_z
Ni1 0.222 0.083 0.303
Ir1 0.057 0.416 0.139
Ir2 0.112 0.085 0.528
Ir3 0.168 0.417 0.917
Ru1 0.000 0.083 0.750
# - magnetic moment (μB/cell) = 0.01
# - energy relative to the elements (kJ/mol of formula units) = 29
# - Fermi-level density of states (states/eV per atom) = 1.4085
# - crystal system = monoclinic
# - theoretical density (kg/m3) = 18330

***

5.
# DyTmAlTl (PBE, optimized geometry)
data_DyTmAlTl
_cell_length_a 3.592
_cell_length_b 3.592
_cell_length_c 7.761
_cell_angle_alpha 90.00
_cell_angle_beta 90.00
_cell_angle_gamma 90.00
_space_group_name_H-M_alt 'P 4 m m'
_space_group_IT_number 99
_space_group_name_Hall 'P 4 -2'
loop_
_atom_site_label
_atom_site_fract_x
_atom_site_fract_y
_atom_site_fract_z
Dy1 0.000 0.000 0.000
Tm1 0.000 0.000 0.531
Al1 0.500 0.500 0.763
Tl1 0.500 0.500 0.270
# - magnetic moment (μB/cell) = 0.00
# - energy relative to the elements (kJ/mol of formula units) = -134
# - Fermi-level density of states (states/eV per atom) = 0.3978
# - crystal system = tetragonal
# - theoretical density (kg/m3) = 9331
# - ΔE to the lowest computed polymorph (meV per atom) = 0

***

6.
# Pu3SbAs2 (PBE, optimized geometry)
data_Pu3SbAs2
_cell_length_a 4.213
_cell_length_b 5.998
_cell_length_c 12.750
_cell_angle_alpha 90.00
_cell_angle_beta 90.00
_cell_angle_gamma 90.00
_space_group_name_H-M_alt 'I m m m'
_space_group_IT_number 71
_space_group_name_Hall '-I 2 2'
loop_
_atom_site_label
_atom_site_fract_x
_atom_site_fract_y
_atom_site_fract_z
Pu1 0.000 0.000 0.000
Pu2 0.000 0.000 0.321
Sb1 0.000 0.500 0.000
As1 0.000 0.500 0.337
# - magnetic moment (μB/cell) = 10.41
# - uncorrected formation energy (meV per atom) = -819
# - Fermi-level density of states (states/eV per atom) = 5.7085
# - crystal system = orthorhombic
# - theoretical density (kg/m3) = 10346
# - ΔE to the lowest computed polymorph (meV per atom) = 33

***

7.
# Cs3TlBi4 (PBE, optimized geometry)
data_Cs3TlBi4
_cell_length_a 7.510
_cell_length_b 15.019
_cell_length_c 7.049
_cell_angle_alpha 90.00
_cell_angle_beta 90.00
_cell_angle_gamma 90.00
_space_group_name_H-M_alt 'P m m n'
_space_group_IT_number 59
loop_
_space_group_symop_operation_xyz
'x,y,z'
'-x,-y,-z'
'-x+1/2,-y+1/2,z'
'x+1/2,y+1/2,-z'
'x+1/2,-y,-z'
'-x+1/2,y,z'
'-x,y+1/2,-z'
'x,-y+1/2,z'
loop_
_atom_site_label
_atom_site_fract_x
_atom_site_fract_y
_atom_site_fract_z
Cs1 0.250 0.008 0.185
Cs2 0.250 0.250 0.613
Tl1 0.250 0.750 0.285
Bi1 0.008 0.750 0.868
Bi2 0.250 0.604 0.679
# - magnetic moment (μB/cell) = 0.00
# - energy relative to the elements (kJ/mol of formula units) = -145
# - Fermi-level density of states (states/eV per atom) = 0.6540
# - crystal system = orthorhombic
# - theoretical density (kg/m3) = 6011
# - ΔE to the lowest computed polymorph (meV per atom) = 0

***

8.
# Pr7SiBr12 (PBE, optimized geometry)
data_Pr7SiBr12
_cell_length_a 15.3905
_cell_length_b 15.3905
_cell_length_c 10.3892
_cell_angle_alpha 90.00
_cell_angle_beta 90.00
_cell_angle_gamma 120.00
_space_group_name_H-M_alt 'R -3'
_space_group_IT_number 148
_space_group_name_Hall '-R 3'
loop_
_atom_site_label
_atom_site_fract_x
_atom_site_fract_y
_atom_site_fract_z
Pr1 0.0000 0.0000 0.0000
Pr2 0.0462 0.1690 0.3456
Si1 0.0000 0.0000 0.5000
Br1 0.0240 0.5868 0.1651
Br2 0.0485 0.1786 0.8389
# - magnetic moment (μB/cell) = 0.00
# - uncorrected formation energy (meV per atom) = -1663
# - Fermi-level density of states (states/eV per atom) = 0.5281
# - crystal system = trigonal
# - theoretical density (kg/m3) = 4613

***

| no. | DFT total energy (Ha/atom) |
| --- | --- |
| 1 | -0.2351 |
| 2 | -0.1796 |
| 3 | -0.1921 |
| 4 | -0.3009 |
| 5 | -0.1522 |
| 6 | -0.3757 |
| 7 | -0.1008 |
| 8 | -0.1694 |